[1]
Material: ScTl2In
Method: DFT, PBE
State: relaxed

Values from the calculation:
* D(E_F): 2.7 states/eV per cell
* energy relative to the elements: -0.09 eV per atom
* M_tot: 0.00 μB/atom
* calculated density: 9.42 g cm⁻³

Unit cell a=5.879 b=5.879 c=5.879 alpha=134.95 beta=134.95 gamma=65.61
Sites, in units of the cell vectors:
Sc (0.750, 0.250, 0.500)
In (0.250, 0.750, 0.500)
Tl (0.000, 0.000, 0.000)
Tl (0.500, 0.500, 0.000)

[2]
Material: Sm4CdN
Method: DFT, PBE
State: relaxed

Values from the calculation:
* energy relative to the elements, uncorrected: -375 meV per atom
* D(E_F): 6.8 states/eV per cell
* M_tot: 0.00 μB/atom
* calculated density: 6.94 g cm⁻³

Unit cell a=3.713 b=6.855 c=6.854 alpha=93.15 beta=90.00 gamma=90.00
Sites, in units of the cell vectors:
Sm (0.000, 0.175, 0.175)
Sm (0.500, 0.244, 0.756)
Sm (0.500, 0.756, 0.244)
Sm (0.000, 0.825, 0.825)
Cd (0.000, 0.500, 0.500)
N (0.500, 0.000, 0.000)

[3]
Material: Pm5TlGe2
Method: DFT, PBE
State: relaxed

Values from the calculation:
* D(E_F): 8.6 states/eV per cell
* energy relative to the elements: -0.37 eV per atom
* M_tot: 0.00 μB/atom
* calculated density: 8.26 g cm⁻³

Unit cell a=6.914 b=6.914 c=6.659 alpha=121.25 beta=121.25 gamma=90.10
Sites, in units of the cell vectors:
Pm (0.222, 0.722, 0.944)
Pm (0.722, 0.722, 0.445)
Pm (0.222, 0.222, 0.944)
Pm (0.722, 0.722, 0.945)
Pm (0.722, 0.222, 0.944)
Ge (0.722, 0.222, 0.444)
Ge (0.222, 0.722, 0.444)
Tl (0.222, 0.222, 0.444)

| no. | raw total energy (hartree per atom) |
| --- | --- |
| 1 | -0.13015 |
| 2 | -0.18598 |
| 3 | -0.17614 |